# 1
The following is a DFT calculation (meta-GGA SCAN) of a PBEsol-optimized structure of Mo2RhW.

* crystal system: tetragonal
* calculated total energy: -172.64 eV for the cell shown
* energy above the lowest structure with this stoichiometry: 6.67 kJ/mol of atoms
* size of the total moment: 0.00 Bohr magnetons per cell

Cell lengths 3.1534, 3.1534, 6.0677 Å; angles 90.00, 90.00, 90.00 degrees
With the nearest neighbours (Å) after each atom.
Sites, in units of the cell vectors:
W: 0.5000 0.5000 0.5000  8 Mo 2.68
Mo: 0.0000 0.0000 0.7441  4 W 2.68, 4 Rh 2.72, 1 Mo 2.96
Rh: 0.5000 0.5000 0.0000  8 Mo 2.72, 2 W 3.03
Mo: 0.0000 0.0000 0.2559  4 W 2.68, 4 Rh 2.72, 1 Mo 2.96



# 2
The following is a DFT calculation (meta-GGA SCAN) of a PBEsol-optimized structure of Hf2ZnH2.

* crystal system: tetragonal
* calculated total energy: -147.62 eV for the cell shown
* size of the total moment: 0.00 Bohr magnetons per cell

Cell lengths 3.5155, 3.5155, 5.4435 Å; angles 108.84, 108.84, 90.00 degrees
With the nearest neighbours (Å) after each atom.
Sites, in units of the cell vectors:
H: 0.7500 0.2500 0.5000  4 Hf 2.01
Hf: 0.6496 0.6496 0.2992  4 H 2.01
Zn: 0.0000 0.0000 0.0000  8 Hf 2.88, 8 H 2.99
H: 0.2500 0.7500 0.5000  4 Hf 2.01
Hf: 0.3504 0.3504 0.7008  4 H 2.01



# 3
The following is a DFT calculation (meta-GGA SCAN) of a PBEsol-optimized structure of CoRu2Cl.

* crystal system: monoclinic
* E_form (uncorrected): 2.14 eV per formula unit
* calculated total energy: -92.79 eV for the cell shown
* energy above the lowest structure with this stoichiometry: 15.12 kJ/mol of atoms
* size of the total moment: 2.21 Bohr magnetons per cell

Cell lengths 2.7276, 4.1902, 6.2923 Å; angles 91.38, 90.00, 108.99 degrees
With the nearest neighbours (Å) after each atom.
Sites, in units of the cell vectors:
Ru: 0.2016 0.4033 0.8242  3 Ru 2.36-2.55, 2 Cl 2.40, 2 Co 2.58
Ru: 0.9406 0.8811 0.9960  3 Ru 2.36-2.55, 3 Co 2.41-2.51
Co: 0.6726 0.3453 0.1689  1 Cl 2.15
Cl: 0.6852 0.3703 0.5109  1 Co 2.15, 2 Ru 2.40



# 4
The following is a DFT calculation (meta-GGA SCAN) of a PBEsol-optimized structure of SrMg2Cd2.

* crystal system: tetragonal
* calculated total energy: -94.00 eV for the cell shown
* size of the total moment: 0.00 Bohr magnetons per cell

Cell lengths 4.8922, 4.8922, 6.6642 Å; angles 111.53, 111.53, 90.00 degrees
With the nearest neighbours (Å) after each atom.
Sites, in units of the cell vectors:
Cd: 0.2500 0.7500 0.5000  4 Mg 2.82
Sr: 0.0000 0.0000 0.0000  8 Mg 3.75, 8 Cd 3.75
Mg: 0.6260 0.6260 0.2520  4 Cd 2.82, 1 Mg 2.87
Mg: 0.3740 0.3740 0.7480  4 Cd 2.82, 1 Mg 2.87
Cd: 0.7500 0.2500 0.5000  4 Mg 2.82



# 5
The following is a DFT calculation (meta-GGA SCAN) of a PBEsol-optimized structure of Mg14AlCrO16.

* crystal system: orthorhombic
* E_form (uncorrected): -91.38 eV per formula unit
* calculated total energy: -286.85 eV for the cell shown
* size of the total moment: 4.65 Bohr magnetons per cell

Cell lengths 4.2291, 8.4151, 8.5858 Å; angles 90.00, 90.00, 90.00 degrees
With the nearest neighbours (Å) after each atom.
Sites, in units of the cell vectors:
O: 0.0000 0.0000 0.2144  1 Al 1.84
O: 0.0000 0.5000 0.2462  6 Mg 2.11-2.18
Mg: 0.5000 0.7496 0.0000  6 O 2.10-2.14
O: 0.5000 0.2491 0.2493  6 Mg 2.10-2.15
O: 0.5000 0.5000 0.5000  6 Mg 2.11-2.14
O: 0.5000 0.7509 0.2493  6 Mg 2.10-2.15
O: 0.5000 0.0000 0.0000  4 Mg 2.11-2.15, 2 Al 2.11
O: 0.0000 0.2379 0.0000  1 Al 2.00, 5 Mg 2.12-2.21
Mg: 0.0000 0.5000 0.0000  6 O 2.11-2.21
Mg: 0.0000 0.2492 0.7488  6 O 2.11-2.16
O: 0.5000 0.5000 0.0000  6 Mg 2.10-2.16
Mg: 0.5000 0.5000 0.7490  6 O 2.11-2.16
O: 0.0000 0.7457 0.5000  5 Mg 2.07-2.14, 1 Cr 2.14
Mg: 0.0000 0.5000 0.5000  6 O 2.07-2.18
Mg: 0.5000 0.0000 0.2508  6 O 2.10-2.15
O: 0.5000 0.2491 0.7507  6 Mg 2.10-2.15
O: 0.5000 0.7509 0.7507  6 Mg 2.10-2.15
Mg: 0.5000 0.7506 0.5000  6 O 2.10-2.15
Mg: 0.0000 0.7508 0.7488  6 O 2.11-2.16
Mg: 0.5000 0.0000 0.7492  6 O 2.10-2.15
O: 0.0000 0.0000 0.7856  1 Al 1.84
Mg: 0.5000 0.2494 0.5000  6 O 2.10-2.15
Al: 0.0000 0.0000 0.0000  4 O 1.84-2.00
O: 0.5000 0.0000 0.5000  4 Mg 2.10-2.14, 2 Cr 2.11
Mg: 0.5000 0.2504 0.0000  6 O 2.10-2.14
O: 0.0000 0.5000 0.7538  6 Mg 2.11-2.18
O: 0.0000 0.7621 0.0000  1 Al 2.00, 5 Mg 2.12-2.21
Cr: 0.0000 0.0000 0.5000  4 O 2.11-2.14
O: 0.0000 0.2543 0.5000  5 Mg 2.07-2.14, 1 Cr 2.14
Mg: 0.0000 0.7508 0.2512  6 O 2.11-2.16
Mg: 0.0000 0.2492 0.2512  6 O 2.11-2.16
Mg: 0.5000 0.5000 0.2510  6 O 2.11-2.16



# 6
The following is a DFT calculation (meta-GGA SCAN) of a PBEsol-optimized structure of K3C.

* crystal system: orthorhombic
* calculated total energy: -31.20 eV for the cell shown
* energy above the lowest structure with this stoichiometry: 0.00 kJ/mol of atoms
* size of the total moment: 1.93 Bohr magnetons per cell

Cell lengths 4.3783, 5.8420, 7.8226 Å; angles 111.91, 90.00, 90.00 degrees
With the nearest neighbours (Å) after each atom.
Sites, in units of the cell vectors:
K: 0.0000 0.5000 0.0000  2 C 2.92
K: 0.5000 0.8701 0.7403  2 C 2.89
K: 0.5000 0.1299 0.2597  2 C 2.89
C: 0.0000 0.0000 0.0000  6 K 2.89-2.92



# 7
The following is a DFT calculation (meta-GGA SCAN) of a PBEsol-optimized structure of Tl2ZnSi.

* crystal system: monoclinic
* E_form (uncorrected): 1.86 eV per formula unit
* calculated total energy: -166.39 eV for the cell shown
* energy above the lowest structure with this stoichiometry: 12.58 kJ/mol of atoms
* size of the total moment: 0.00 Bohr magnetons per cell

Cell lengths 3.5999, 4.3424, 6.5289 Å; angles 102.99, 90.00, 114.49 degrees
With the nearest neighbours (Å) after each atom.
Sites, in units of the cell vectors:
Tl: 0.7510 0.5020 0.7474  3 Si 2.84-2.86, 3 Zn 2.87-2.88
Si: 0.0000 0.0000 0.5000  6 Tl 2.84-2.86
Zn: 0.5000 0.0000 0.0000  6 Tl 2.87-2.88
Tl: 0.2490 0.4980 0.2526  3 Si 2.84-2.86, 3 Zn 2.87-2.88



# 8
The following is a DFT calculation (meta-GGA SCAN) of a PBEsol-optimized structure of CdSb2.

* crystal system: trigonal
* E_form (uncorrected): 0.13 eV per formula unit
* calculated total energy: -104.81 eV for the cell shown
* size of the total moment: 0.00 Bohr magnetons per cell

Cell lengths 4.1318, 4.1318, 5.4877 Å; angles 90.00, 90.00, 120.00 degrees
With the nearest neighbours (Å) after each atom.
Sites, in units of the cell vectors:
Sb: 0.6667 0.3333 0.6638  3 Sb 2.99, 3 Cd 3.02
Sb: 0.3333 0.6667 0.3362  3 Sb 2.99, 3 Cd 3.02
Cd: 0.0000 0.0000 0.0000  6 Sb 3.02